BiAsAu | PBE | optimized geometry

Calculated values
ΔE to the lowest computed polymorph in eV per atom: 0.082

Structure (POSCAR):
```
BiAsAu
1.0
4.773 0.000 0.000
2.386 4.133 0.000
2.386 1.378 3.897
Au Bi As
1 1 1
Direct
0.250 0.250 0.250 Au
0.000 0.000 0.000 Bi
0.500 0.500 0.500 As
```



CoSiSe2 | PBE | optimized geometry

Calculated values
ΔE_f (raw) in eV per atom: 0.2361

Structure (POSCAR):
```
CoSiSe2
1.0
4.451 0.020 0.034
-1.539 4.175 -0.033
1.373 2.153 3.643
Co Se Si
1 2 1
Direct
0.500 0.500 0.000 Co
0.500 0.000 0.500 Se
0.000 0.000 0.000 Se
0.000 0.500 0.500 Si
```



TbPuCdIn | PBE | optimized geometry

Calculated values
Uncorrected energy in eV/atom: -5.856

Structure (POSCAR):
```
TbPuCdIn
1.0
5.351 0.000 0.000
2.676 4.634 0.000
2.676 1.545 4.369
In Tb Pu Cd
1 1 1 1
Direct
0.000 0.000 0.000 In
0.250 0.250 0.250 Tb
0.750 0.750 0.750 Pu
0.500 0.500 0.500 Cd
```